# 1
VASP calculation (GGA-PBE) on an optimized crystal structure of LaNd4Dy2Th.

Unit cell a=5.1327 b=5.1374 c=10.3806 alpha=90.00 beta=90.08 gamma=90.00
Positions (direct):
1 La 0.0000 0.0000 0.0000
2 Nd 0.9997 0.5000 0.2557
3 Nd 0.0003 0.5000 0.7443
4 Nd 0.5001 0.0000 0.2566
5 Nd 0.4999 0.0000 0.7434
6 Dy 0.0000 0.0000 0.5000
7 Dy 0.5000 0.5000 0.0000
8 Th 0.5000 0.5000 0.5000

## Properties
Total magnetization, μB per formula unit: 0.0
Mass density, g/cm3: 7.72
Symmetry: P2/m
Crystal system: monoclinic

---

# 2
VASP calculation (GGA-PBE) on an optimized crystal structure of Nd12Dy3Mg.

Unit cell a=5.1223 b=5.1223 c=20.5905 alpha=90.00 beta=90.00 gamma=90.00
Positions (direct):
1 Nd 0.0000 0.0000 0.0000
2 Nd 0.0000 0.0000 0.2470
3 Nd 0.0000 0.0000 0.5000
4 Nd 0.0000 0.0000 0.7530
5 Nd 0.0000 0.5000 0.1230
6 Nd 0.0000 0.5000 0.3741
7 Nd 0.0000 0.5000 0.6259
8 Nd 0.0000 0.5000 0.8770
9 Nd 0.5000 0.0000 0.1230
10 Nd 0.5000 0.0000 0.3741
11 Nd 0.5000 0.0000 0.6259
12 Nd 0.5000 0.0000 0.8770
13 Dy 0.5000 0.5000 0.2481
14 Dy 0.5000 0.5000 0.5000
15 Dy 0.5000 0.5000 0.7519
16 Mg 0.5000 0.5000 0.0000

## Properties
Total magnetization, μB per formula unit: 0.0
Mass density, g/cm3: 6.89
Symmetry: P4/mmm
Crystal system: tetragonal

---

Asked for energy of formation across the records above, the calculation gives 0.042, 0.010 eV per atom in order.